Record 1
Below is a relaxed Pm3TePN crystal, with properties calculated at the PBE level.

Computed properties:
The formation energy from raw total energies comes out at -32.55 kcal/mol of atoms.

abc: 4.1576 8.8320 9.3970
angles: 101.87 90.00 90.00
Fractional coordinates of all 12 atoms:
1 Pm 0.2500 0.1211 0.8408
2 Pm 0.7500 0.4300 0.1492
3 N 0.7500 0.9101 0.4000
4 Te 0.2500 0.1792 0.2173
5 Pm 0.2500 0.8361 0.4815
6 Pm 0.7500 0.1639 0.5185
7 P 0.7500 0.3465 0.8445
8 Pm 0.2500 0.5700 0.8508
9 P 0.2500 0.6535 0.1555
10 Pm 0.7500 0.8789 0.1592
11 N 0.2500 0.0899 0.6000
12 Te 0.7500 0.8208 0.7827

---

Record 2
Below is a relaxed Pm2ThPN5 crystal, with properties calculated at the PBE level.

Computed properties:
The formation energy from raw total energies comes out at -30.93 kcal/mol of atoms.

abc: 6.6634 6.6634 7.1715
angles: 117.68 117.68 90.00
Fractional coordinates of all 18 atoms:
1 N 0.0000 0.0000 0.0000
2 N 0.2940 0.7940 0.3117
3 P 0.7500 0.2500 0.5000
4 Th 0.2500 0.2500 0.5000
5 Pm 0.8243 0.6757 0.0000
6 Pm 0.3243 0.8243 0.0000
7 N 0.9823 0.4823 0.6883
8 Pm 0.1757 0.3243 0.0000
9 Pm 0.6757 0.1757 0.0000
10 N 0.7060 0.2060 0.6883
11 N 0.2060 0.9823 0.6883
12 N 0.0177 0.5177 0.3117
13 N 0.5177 0.2940 0.3117
14 Th 0.7500 0.7500 0.5000
15 N 0.4823 0.7060 0.6883
16 P 0.2500 0.7500 0.5000
17 N 0.7940 0.0177 0.3117
18 N 0.5000 0.5000 0.0000

---

Record 3
Below is a relaxed PmTiP2N6 crystal, with properties calculated at the PBE level.

Computed properties:
The formation energy from raw total energies comes out at -16.67 kcal/mol of atoms.

abc: 4.7568 6.9172 6.9172
angles: 98.59 87.38 87.38
Fractional coordinates of all 20 atoms:
1 P 0.3019 0.3764 0.2253
2 N 0.2487 0.2599 0.0132
3 Pm 0.2500 0.8985 0.1015
4 P 0.6981 0.6236 0.7747
5 N 0.1740 0.6088 0.2551
6 Pm 0.7500 0.1015 0.8985
7 Ti 0.7500 0.7143 0.2857
8 N 0.8260 0.3912 0.7449
9 N 0.3545 0.6032 0.7372
10 N 0.2513 0.9868 0.7401
11 N 0.7487 0.0132 0.2599
12 N 0.6740 0.2551 0.6088
13 N 0.6455 0.3968 0.2628
14 N 0.8545 0.7372 0.6032
15 Ti 0.2500 0.2857 0.7143
16 N 0.1455 0.2628 0.3968
17 P 0.8019 0.2253 0.3764
18 N 0.7513 0.7401 0.9868
19 N 0.3260 0.7449 0.3912
20 P 0.1981 0.7747 0.6236

---

Values of mass density, in order: 6.0, 8.6, 5.0, all in Mg/m³.
Values of spin magnetization, in order: 0.0, 0.0, 0.4, all in μB per formula unit.